Entry 1:
Crystalline AsOsPbSe2 at its relaxed geometry, computed with PBE.

The space group is P4/mmm (No. 123) and the conventional cell measures 5.3323, 5.3323 and 5.4337 Å, with angles of 90.00, 90.00 and 90.00 degrees. The asymmetric unit holds As at (0.0000, 0.0000, 0.0000), Os at (0.5000, 0.5000, 0.0000), Pb at (0.0000, 0.0000, 0.5000) and Se at (0.0000, 0.5000, 0.5000).

Its formation energy (no corrections) is 1.89 eV per atom. The energy above the most stable polymorph in this dataset comes out at 1.516 eV per atom. Its volume is 154.5 Å³ per cell. The value obtained for the density is 6.77 Mg/m³.

---

Entry 2:
Crystalline ErTh2Ru2 at its relaxed geometry, computed with PBE.

The space group is P2_1/c (No. 14) and the conventional cell measures 9.6149, 7.5624 and 6.8916 Å, with angles of 90.00, 106.75 and 90.00 degrees. The asymmetric unit holds Er at (0.0827, 0.1966, 0.0382), Th at (0.2321, 0.6238, 0.2517), Th at (0.4275, 0.2201, 0.4778), Ru at (0.1026, 0.5398, 0.8597) and Ru at (0.3632, 0.5345, 0.6888).

For the formation energy, the calculation gives -423 meV per atom. Its volume is 479.8 Å³ per cell. The value obtained for the density is 11.54 Mg/m³.

---

Entry 3:
Crystalline Ni17W2 at its relaxed geometry, computed with PBE.

The space group is R-3m (No. 166, hexagonal axes) and the conventional cell measures 7.9505, 7.9505 and 12.2326 Å, with angles of 90.00, 90.00 and 120.00 degrees. The asymmetric unit holds Ni at (0.0000, 0.0000, 0.0974), Ni at (0.0000, 0.3200, 0.0000), Ni at (0.0000, 0.5000, 0.5000), Ni at (0.0055, 0.5028, 0.1565) and W at (0.0000, 0.0000, 0.3011).

For the formation energy, the calculation gives 175 meV per atom. Its volume is 669.6 Å³ per cell. The value obtained for the density is 10.16 Mg/m³.

---

Entry 4:
Crystalline Er3Ag2Ru at its relaxed geometry, computed with PBE.

The space group is P4/mmm (No. 123) and the conventional cell measures 3.4699, 3.4699 and 10.9195 Å, with angles of 90.00, 90.00 and 90.00 degrees. The asymmetric unit holds Er at (0.0000, 0.0000, 0.0000), Er at (0.0000, 0.0000, 0.3503), Ag at (0.5000, 0.5000, 0.1720) and Ru at (0.5000, 0.5000, 0.5000).

For the formation energy, the calculation gives -400 meV per atom. The energy above the most stable polymorph in this dataset comes out at 0.000 eV per atom. Its volume is 131.5 Å³ per cell. The value obtained for the density is 10.34 Mg/m³.

---

Entry 5:
Crystalline Sr4HfTh3As8 at its relaxed geometry, computed with PBE.

The space group is R-3m (No. 166, hexagonal axes) and the conventional cell measures 8.5765, 8.5765 and 21.5493 Å, with angles of 90.00, 90.00 and 120.00 degrees. The asymmetric unit holds Sr at (0.0000, 0.0000, 0.0000), Sr at (0.0000, 0.5000, 0.0000), Hf at (0.0000, 0.0000, 0.5000), Th at (0.0000, 0.5000, 0.5000), As at (0.0000, 0.0000, 0.2428) and As at (0.0157, 0.5079, 0.2398).

For the formation energy, the calculation gives -1274 meV per atom. Its volume is 1372.7 Å³ per cell. The value obtained for the density is 6.62 Mg/m³.

---

Entry 6:
Crystalline NdHoPt2 at its relaxed geometry, computed with PBE.

The space group is Fm-3m (No. 225) and the conventional cell measures 7.0975, 7.0975 and 7.0975 Å, with angles of 90.00, 90.00 and 90.00 degrees. The asymmetric unit holds Nd at (0.0000, 0.0000, 0.0000), Ho at (0.0000, 0.0000, 0.5000) and Pt at (0.2500, 0.2500, 0.2500).

For the formation energy, the calculation gives -1122 meV per atom. The energy above the most stable polymorph in this dataset comes out at 0.089 eV per atom. Its volume is 357.5 Å³ per cell. The value obtained for the density is 12.99 Mg/m³.

---

Entry 7:
Crystalline NdLu3Rh at its relaxed geometry, computed with PBE.

The space group is Pm-3m (No. 221) and the conventional cell measures 5.3154, 5.3154 and 5.3154 Å, with angles of 90.00, 90.00 and 90.00 degrees. The asymmetric unit holds Nd at (0.0000, 0.0000, 0.0000), Lu at (0.0000, 0.5000, 0.5000) and Rh at (0.5000, 0.5000, 0.5000).

For the formation energy, the calculation gives -317 meV per atom. Its volume is 150.2 Å³ per cell. The value obtained for the density is 8.54 Mg/m³.

---

Entry 8:
Crystalline SrV2Se at its relaxed geometry, computed with PBE.

The space group is I-42d (No. 122) and the conventional cell measures 4.4179, 4.4179 and 18.7736 Å, with angles of 90.00, 90.00 and 90.00 degrees. The asymmetric unit holds Sr at (0.0000, 0.0000, 0.0000), V at (0.0160, 0.2500, 0.6250) and Se at (0.0000, 0.0000, 0.5000).

Its formation energy (no corrections) is 0.16 eV per atom. Its volume is 366.4 Å³ per cell. The value obtained for the density is 4.87 Mg/m³.

---

Entry 9:
Crystalline NbNiN at its relaxed geometry, computed with PBE.

The space group is Cmcm (No. 63) and the conventional cell measures 3.2009, 9.8128 and 4.2581 Å, with angles of 90.00, 90.00 and 90.00 degrees. The asymmetric unit holds Nb at (0.0000, 0.1522, 0.2500), Ni at (0.0000, 0.4314, 0.2500) and N at (0.0000, 0.1943, 0.7500).

Its formation energy (no corrections) is -0.57 eV per atom. Its volume is 133.7 Å³ per cell. The value obtained for the density is 8.22 Mg/m³.

---

Entry 10:
Crystalline LiFe at its relaxed geometry, computed with PBE.

The space group is P4/m (No. 83) and the conventional cell measures 9.2085, 9.2085 and 2.4395 Å, with angles of 90.00, 90.00 and 90.00 degrees. The asymmetric unit holds Li at (0.0344, 0.1964, 0.0000), Li at (0.2138, 0.6884, 0.5000), Fe at (0.1076, 0.4351, 0.5000) and Fe at (0.3377, 0.4679, 0.0000).

For the formation energy, the calculation gives 357 meV per atom. Its volume is 206.9 Å³ per cell. The value obtained for the density is 4.03 Mg/m³.

---

Entry 11:
Crystalline InPtBr2 at its relaxed geometry, computed with PBE.

The space group is Imm2 (No. 44) and the conventional cell measures 3.5457, 4.0653 and 15.5372 Å, with angles of 90.00, 90.00 and 90.00 degrees. The asymmetric unit holds In at (0.0000, 0.0000, 0.0000), Pt at (0.0000, 0.5000, 0.6431), Br at (0.0000, 0.0000, 0.4051) and Br at (0.0000, 0.5000, 0.1710).

Its formation energy (no corrections) is -0.05 eV per atom. The energy above the most stable polymorph in this dataset comes out at 0.266 eV per atom. Its volume is 224.0 Å³ per cell. The value obtained for the density is 6.97 Mg/m³.

---

Entry 12:
Crystalline Tb2HoEr3Sb6 at its relaxed geometry, computed with PBE.

The space group is C2/m (No. 12) and the conventional cell measures 19.0462, 4.3700 and 8.7403 Å, with angles of 90.00, 103.20 and 90.00 degrees. The asymmetric unit holds Tb at (0.1664, 0.0000, 0.3329), Ho at (0.0000, 0.5000, 0.0000), Er at (0.0000, 0.5000, 0.5000), Er at (0.1670, 0.0000, 0.8333), Sb at (0.0010, 0.0000, 0.7498), Sb at (0.1660, 0.5000, 0.5850) and Sb at (0.1667, 0.5000, 0.0808).

Its formation energy (no corrections) is -1.12 eV per atom. Its volume is 708.2 Å³ per cell. The value obtained for the density is 8.04 Mg/m³.

---

> Which formula does entry 12 have?

Tb2HoEr3Sb6

---

> What is the formula in the tenth record?

LiFe